# PuPaNiO6, optimized geometry, DFT PBE with a Hubbard U
# Crystal system   trigonal
# Total DFT energy (no corrections)   -8.6970 eV/atom
# DOS at the Fermi energy   9.7 states/eV/f.u.
# Magnetization   0.556 μB/atom
data_PuPaNiO6
_cell_length_a 5.7670
_cell_length_b 5.7670
_cell_length_c 8.6443
_cell_angle_alpha 90.00
_cell_angle_beta 90.00
_cell_angle_gamma 120.00
_symmetry_space_group_name_H-M 'P -3 1 c'
_symmetry_Int_Tables_number 163
_symmetry_space_group_name_Hall '-P 3 2c'
loop_
_atom_site_label
_atom_site_type_symbol
_atom_site_fract_x
_atom_site_fract_y
_atom_site_fract_z
Pu1 Pu 0.3333 0.6667 0.2500
Pa1 Pa 0.3333 0.6667 0.7500
Ni1 Ni 0.0000 0.0000 0.0000
O1 O 0.0067 0.3405 0.1305